(1)
Computed, not measured: crystalline NdHoCo at its relaxed geometry at the GGA-PBE level of DFT.

Energy of formation from the pure elements: -20.1 meV per atom
Distance to the lowest polymorph of the same formula: 25 kJ/mol of formula units

abc: 6.2136 3.9410 3.9410
angles: 120.00 90.00 90.00
Atoms (fractional coordinates):
Nd1 0.7653 0.6667 0.3333
Co1 0.0057 0.0000 0.0000
Ho1 0.2290 0.3333 0.6667

=====

(2)
Computed, not measured: crystalline Nd2HoCo9 at its relaxed geometry at the GGA-PBE level of DFT.

Energy of formation from the pure elements: -86.2 meV per atom

abc: 4.9945 4.9945 8.7982
angles: 73.51 73.51 60.00
Each line ends with the local moment (μB).
Atoms (fractional coordinates):
Co1 0.5772 0.0810 0.7647  1.30
Co2 0.9190 0.4228 0.2353  1.30
Co3 0.5000 0.5000 0.5000  1.03
Co4 0.5772 0.5772 0.7647  1.30
Co5 0.0810 0.5772 0.7647  1.30
Co6 0.4228 0.4228 0.2353  1.30
Co7 0.3333 0.3333 0.0001  1.46
Co8 0.6667 0.6667 0.9999  1.46
Co9 0.4228 0.9190 0.2353  1.30
Ho1 0.0000 0.0000 0.0000  -0.32
Nd1 0.8607 0.8607 0.4179  -0.25
Nd2 0.1393 0.1393 0.5821  -0.25